(w)
GdUSn2: optimized geometry, PBE-GGA.

Cell: 5.753 5.753 3.161 Å, 90.00 90.00 90.00°
Space group P4/mmm (No. 123)
Inequivalent atoms, fractional coordinates:
Gd: 0.000 0.000 0.000 [1 per cell]
U: 0.500 0.500 0.000 [1 per cell]
Sn: 0.000 0.500 0.500 [2 per cell]

---

(x)
GdUSn2: optimized geometry, PBE-GGA.

Cell: 3.2462 3.2462 35.6468 Å, 90.00 90.00 120.00°
Space group R-3m (No. 166, hexagonal axes)
Inequivalent atoms, fractional coordinates:
Gd: 0.0000 0.0000 0.0000 [3 per cell]
U: 0.0000 0.0000 0.5000 [3 per cell]
Sn: 0.0000 0.0000 0.0891 [6 per cell]

---

(y)
GdUSn2: optimized geometry, PBE-GGA.

Cell: 3.996 3.996 6.636 Å, 90.00 90.00 90.00°
Space group P4/mmm (No. 123)
Inequivalent atoms, fractional coordinates:
Gd: 0.000 0.000 0.000 [1 per cell]
U: 0.000 0.000 0.500 [1 per cell]
Sn: 0.500 0.500 0.248 [2 per cell]

---

The structure shown above that is most stable: (w).